1) Computed, not measured: SrPb2Br6 after structural relaxation at the PBE-GGA level of DFT.

The structure in POSCAR format:
```
SrPb2Br6
1.0
4.426 0.000 -1.014
-0.367 8.379 -1.601
-0.112 0.503 9.676
Br Sr Pb
6 1 2
Cartesian
1.240 3.853 5.411 Br
4.020 6.832 7.380 Br
-0.073 2.050 -0.319 Br
1.076 7.960 4.695 Br
2.871 0.922 2.366 Br
2.707 5.028 1.650 Br
2.213 0.000 -0.507 Sr
0.580 2.971 2.530 Pb
3.367 5.910 4.531 Pb
```

* total magnetic moment: 0.000 μB per formula unit
* volume: 40.18 Å³/atom



2) Computed, not measured: SrPb2Br6 after structural relaxation at the PBE-GGA level of DFT.

The structure in POSCAR format:
```
SrPb2Br6
1.0
7.167 0.000 0.000
0.000 7.167 0.000
0.000 0.000 13.936
Pb Br Sr
4 12 2
Cartesian
3.584 3.584 2.330 Pb
0.000 0.000 4.638 Pb
3.584 3.584 11.605 Pb
0.000 0.000 9.298 Pb
1.409 5.759 6.968 Br
5.759 1.409 6.968 Br
4.999 4.999 4.631 Br
2.168 2.168 9.305 Br
2.168 2.168 4.631 Br
2.175 2.175 0.000 Br
4.999 4.999 9.305 Br
1.415 5.752 11.599 Br
5.752 1.415 11.599 Br
4.993 4.993 0.000 Br
5.752 1.415 2.337 Br
1.415 5.752 2.337 Br
3.584 3.584 6.968 Sr
0.000 0.000 0.000 Sr
```

* total magnetic moment: 0.000 μB per formula unit
* volume: 39.77 Å³/atom



Quick one: least stable of them? 2)



1) Computed, not measured: SrPbBr3 after structural relaxation at the PBE-GGA level of DFT.

The structure in POSCAR format:
```
SrPbBr3
1.0
-4.569 -1.370 3.528
3.654 -0.153 4.672
-0.988 5.771 0.961
Br Sr Pb
3 1 1
Cartesian
1.827 -0.076 2.336 Br
-2.285 -0.685 1.764 Br
-0.494 2.885 0.481 Br
-0.952 2.124 4.581 Sr
0.000 0.000 0.000 Pb
```

* total magnetic moment: 0.000 μB per formula unit
* volume: 41.78 Å³/atom



2) Computed, not measured: SrPbBr3 after structural relaxation at the PBE-GGA level of DFT.

The structure in POSCAR format:
```
SrPbBr3
1.0
-1.776 -5.566 0.820
3.940 -0.616 4.347
-4.015 1.857 3.903
Sr Br Pb
1 3 1
Cartesian
0.000 0.000 0.000 Sr
-0.888 -2.783 0.410 Br
1.970 -0.308 2.174 Br
-2.008 0.928 1.951 Br
-0.926 -2.163 4.535 Pb
```

* total magnetic moment: 1.000 μB per formula unit
* volume: 41.06 Å³/atom



Quick one: least stable of them? 1)



1) Computed, not measured: SrPbBr after structural relaxation at the PBE-GGA level of DFT.

The structure in POSCAR format:
```
SrPbBr
1.0
-1.205 -4.143 -3.274
-0.436 -5.007 2.017
-4.855 -2.378 0.317
Br Pb Sr
1 1 1
Cartesian
-4.872 -8.646 -0.705 Br
0.000 0.000 0.000 Pb
-3.248 -5.764 -0.470 Sr
```

* total magnetic moment: 0.000 μB per formula unit
* volume: 37.44 Å³/atom



2) Computed, not measured: SrPbBr after structural relaxation at the PBE-GGA level of DFT.

The structure in POSCAR format:
```
SrPbBr
1.0
4.751 0.000 0.000
2.376 4.115 0.000
2.376 1.372 11.422
Pb Sr Br
2 2 2
Cartesian
7.127 4.115 5.015 Pb
2.376 1.372 6.407 Pb
4.751 2.743 2.943 Sr
4.751 2.743 8.479 Sr
2.376 1.372 1.505 Br
7.127 4.115 9.917 Br
```

* total magnetic moment: 0.000 μB per formula unit
* volume: 37.21 Å³/atom



3) Computed, not measured: SrPbBr after structural relaxation at the PBE-GGA level of DFT.

The structure in POSCAR format:
```
SrPbBr
1.0
-2.874 1.382 4.658
-4.750 -2.756 1.308
-0.095 -3.525 4.407
Br Sr Pb
1 1 1
Cartesian
0.000 0.000 0.000 Br
-5.789 -3.674 7.780 Sr
-3.859 -2.450 5.187 Pb
```

* total magnetic moment: 2.722 μB per formula unit
* volume: 42.39 Å³/atom



4) Computed, not measured: SrPbBr after structural relaxation at the PBE-GGA level of DFT.

The structure in POSCAR format:
```
SrPbBr
1.0
-4.538 -3.952 -6.248
-4.616 -6.473 -3.471
-3.525 0.995 0.805
Sr Pb Br
1 1 1
Cartesian
-7.154 -6.367 -5.979 Sr
-5.267 -2.539 -2.452 Pb
-3.783 0.472 0.323 Br
```

* total magnetic moment: 0.000 μB per formula unit
* volume: 38.73 Å³/atom



Quick one: least stable of them? 3)



1) Computed, not measured: SrPbBr after structural relaxation at the PBE-GGA level of DFT.

The structure in POSCAR format:
```
SrPbBr
1.0
4.098 0.000 0.000
-2.049 3.549 0.000
0.000 0.000 8.429
Br Pb Sr
1 1 1
Cartesian
0.000 0.000 7.806 Br
2.049 1.183 3.115 Pb
0.000 2.366 5.937 Sr
```

* total magnetic moment: 0.754 μB per formula unit
* volume: 40.86 Å³/atom



2) Computed, not measured: SrPbBr after structural relaxation at the PBE-GGA level of DFT.

The structure in POSCAR format:
```
SrPbBr
1.0
-0.476 2.562 -4.644
-4.065 -0.054 3.441
1.502 3.599 1.831
Br Sr Pb
1 1 1
Cartesian
1.251 2.997 1.525 Br
-1.616 3.819 2.273 Sr
-1.172 2.890 -1.339 Pb
```

* total magnetic moment: 0.000 μB per formula unit
* volume: 35.27 Å³/atom



Quick one: least stable of them? 2)



1) Computed, not measured: Sr2PbBr6 after structural relaxation at the PBE-GGA level of DFT.

The structure in POSCAR format:
```
Sr2PbBr6
1.0
-0.040 1.145 -4.437
-5.709 -6.175 -1.542
-6.150 6.332 4.055
Br Sr Pb
6 2 1
Cartesian
-9.366 -0.973 -0.167 Br
-5.392 -0.608 -2.475 Br
-10.483 2.769 -1.558 Br
-6.507 1.910 0.551 Br
-1.416 -1.466 -0.366 Br
-2.533 2.275 -1.757 Br
-7.959 1.049 -2.024 Sr
-3.940 0.253 0.101 Sr
-0.020 0.572 -2.219 Pb
```

* total magnetic moment: 0.000 μB per formula unit
* volume: 40.77 Å³/atom



2) Computed, not measured: Sr2PbBr6 after structural relaxation at the PBE-GGA level of DFT.

The structure in POSCAR format:
```
Sr2PbBr6
1.0
-2.788 4.404 4.904
0.662 -5.111 4.965
12.872 4.688 3.109
Br Sr Pb
12 4 2
Cartesian
2.819 1.073 7.905 Br
-1.482 -0.493 6.877 Br
8.622 6.450 7.509 Br
7.095 2.630 8.938 Br
2.124 -2.470 5.470 Br
0.025 3.320 5.433 Br
-0.645 -0.215 2.993 Br
10.721 0.660 7.546 Br
3.651 1.350 4.041 Br
4.327 4.875 6.471 Br
6.419 -0.895 6.508 Br
7.927 2.907 5.074 Br
1.086 0.429 5.454 Sr
9.660 3.551 7.525 Sr
8.586 3.127 2.074 Sr
4.287 1.561 1.035 Sr
0.000 0.000 0.000 Pb
5.373 1.990 6.489 Pb
```

* total magnetic moment: 0.000 μB per formula unit
* volume: 39.97 Å³/atom



Quick one: least stable of them? 2)



1) Computed, not measured: TaPb2Br after structural relaxation at the PBE-GGA level of DFT.

The structure in POSCAR format:
```
TaPb2Br
1.0
-3.189 0.020 1.184
0.920 -1.823 -2.721
2.389 -8.616 6.579
Pb Br Ta
2 1 1
Cartesian
-0.458 -3.342 1.095 Pb
0.028 -0.099 0.076 Pb
0.527 -6.896 3.809 Br
1.217 -4.389 3.351 Ta
```

* total magnetic moment: 0.000 μB per formula unit
* volume: 27.13 Å³/atom



2) Computed, not measured: TaPb2Br after structural relaxation at the PBE-GGA level of DFT.

The structure in POSCAR format:
```
TaPb2Br
1.0
3.269 0.000 0.000
0.000 4.839 0.000
0.000 0.000 6.268
Pb Ta Br
2 1 1
Cartesian
0.000 0.000 3.079 Pb
0.000 0.000 0.055 Pb
1.634 2.419 1.567 Ta
1.634 2.419 4.701 Br
```

* total magnetic moment: 0.000 μB per formula unit
* volume: 24.78 Å³/atom



3) Computed, not measured: TaPb2Br after structural relaxation at the PBE-GGA level of DFT.

The structure in POSCAR format:
```
TaPb2Br
1.0
5.429 0.000 0.000
0.000 3.207 0.018
0.000 1.574 5.843
Pb Br Ta
2 1 1
Cartesian
0.000 1.389 5.125 Pb
2.715 1.393 2.121 Pb
2.715 2.980 5.018 Br
0.000 2.983 2.370 Ta
```

* total magnetic moment: 0.634 μB per formula unit
* volume: 25.39 Å³/atom



4) Computed, not measured: TaPb2Br after structural relaxation at the PBE-GGA level of DFT.

The structure in POSCAR format:
```
TaPb2Br
1.0
-0.375 -3.769 -5.178
3.423 -4.501 3.029
-4.916 -7.212 1.632
Ta Br Pb
2 2 4
Cartesian
-1.884 -7.558 -2.310 Ta
0.000 0.000 0.000 Ta
0.015 -7.924 1.793 Br
1.524 -4.135 -1.074 Br
-0.799 -12.937 -0.460 Pb
-2.765 -8.219 0.222 Pb
0.888 -4.844 1.989 Pb
-1.060 -4.965 -2.784 Pb
```

* total magnetic moment: 0.000 μB per formula unit
* volume: 39.27 Å³/atom



Quick one: least stable of them? 4)



1) Computed, not measured: TaPbBr after structural relaxation at the PBE-GGA level of DFT.

The structure in POSCAR format:
```
TaPbBr
1.0
-0.635 -1.785 2.682
2.855 -0.369 -1.579
3.440 6.011 4.815
Pb Br Ta
1 1 1
Cartesian
1.880 1.049 3.154 Pb
3.139 5.486 4.394 Br
4.080 3.334 3.185 Ta
```

* total magnetic moment: 0.000 μB per formula unit
* volume: 26.26 Å³/atom



2) Computed, not measured: TaPbBr after structural relaxation at the PBE-GGA level of DFT.

The structure in POSCAR format:
```
TaPbBr
1.0
8.677 0.049 -0.035
7.877 3.122 -0.004
0.800 -0.962 2.918
Br Ta Pb
1 1 1
Cartesian
1.400 -0.805 2.806 Br
11.128 1.747 0.980 Ta
5.627 0.304 2.012 Pb
```

* total magnetic moment: 0.000 μB per formula unit
* volume: 26.08 Å³/atom



3) Computed, not measured: TaPbBr after structural relaxation at the PBE-GGA level of DFT.

The structure in POSCAR format:
```
TaPbBr
1.0
-0.542 4.562 1.522
-4.424 1.935 0.318
-1.947 0.887 4.341
Pb Ta Br
1 1 1
Cartesian
-3.456 3.692 3.091 Pb
-5.184 5.539 4.636 Ta
0.000 0.000 0.000 Br
```

* total magnetic moment: 0.410 μB per formula unit
* volume: 26.72 Å³/atom



4) Computed, not measured: TaPbBr after structural relaxation at the PBE-GGA level of DFT.

The structure in POSCAR format:
```
TaPbBr
1.0
-6.887 -2.506 3.337
-6.606 -4.564 -0.605
7.829 1.841 -0.405
Pb Br Ta
1 1 1
Cartesian
-4.098 -2.147 0.830 Pb
-0.598 -0.313 0.121 Br
-8.797 -4.610 1.781 Ta
```

* total magnetic moment: 0.000 μB per formula unit
* volume: 25.61 Å³/atom



Quick one: least stable of them? 3)



1) Computed, not measured: TaPbBr after structural relaxation at the PBE-GGA level of DFT.

The structure in POSCAR format:
```
TaPbBr
1.0
-1.345 1.825 -4.327
3.606 -3.286 0.251
-2.136 -2.370 -0.336
Pb Br Ta
1 1 1
Cartesian
-0.407 -0.669 -2.913 Pb
-1.779 -1.974 -0.280 Br
0.176 -3.557 -1.555 Ta
```

* total magnetic moment: 0.000 μB per formula unit
* volume: 22.10 Å³/atom



2) Computed, not measured: TaPbBr after structural relaxation at the PBE-GGA level of DFT.

The structure in POSCAR format:
```
TaPbBr
1.0
4.788 0.000 0.000
2.394 4.147 0.000
2.394 1.382 3.910
Pb Br Ta
1 1 1
Cartesian
0.000 0.000 0.000 Pb
7.183 4.147 2.932 Br
4.788 2.765 1.955 Ta
```

* total magnetic moment: 0.000 μB per formula unit
* volume: 25.88 Å³/atom



Quick one: least stable of them? 2)



1) Computed, not measured: Ta2PbBr after structural relaxation at the PBE-GGA level of DFT.

The structure in POSCAR format:
```
Ta2PbBr
1.0
-1.018 -0.361 -3.077
0.999 -2.454 1.902
-9.093 -1.256 3.156
Ta Br Pb
2 1 1
Cartesian
-0.099 -0.014 0.035 Ta
-4.447 -0.614 1.544 Ta
-2.283 -1.722 0.201 Br
-6.829 -2.350 1.780 Pb
```

* total magnetic moment: 0.000 μB per formula unit
* volume: 21.34 Å³/atom



2) Computed, not measured: Ta2PbBr after structural relaxation at the PBE-GGA level of DFT.

The structure in POSCAR format:
```
Ta2PbBr
1.0
4.795 0.000 0.000
0.000 3.041 0.015
0.000 1.489 5.932
Ta Br Pb
2 1 1
Cartesian
0.000 0.188 0.308 Ta
2.397 1.701 1.551 Ta
0.000 1.697 2.545 Br
2.397 3.210 4.516 Pb
```

* total magnetic moment: 0.000 μB per formula unit
* volume: 21.60 Å³/atom



Quick one: least stable of them? 1)



1) Computed, not measured: Ta2PbBr after structural relaxation at the PBE-GGA level of DFT.

The structure in POSCAR format:
```
Ta2PbBr
1.0
3.039 0.000 0.000
0.000 5.549 0.000
0.000 0.000 5.045
Br Ta Pb
1 2 1
Cartesian
1.519 0.000 2.522 Br
1.519 2.774 0.000 Ta
0.000 0.000 0.000 Ta
0.000 2.774 2.522 Pb
```

* total magnetic moment: 0.000 μB per formula unit
* volume: 21.27 Å³/atom



2) Computed, not measured: Ta2PbBr after structural relaxation at the PBE-GGA level of DFT.

The structure in POSCAR format:
```
Ta2PbBr
1.0
-0.069 -2.819 3.555
1.155 -2.295 -1.798
5.529 1.668 1.431
Br Ta Pb
1 2 1
Cartesian
1.637 -1.566 1.686 Br
5.692 1.301 1.143 Ta
3.179 0.054 0.104 Ta
4.979 -1.880 1.502 Pb
```

* total magnetic moment: 0.000 μB per formula unit
* volume: 21.16 Å³/atom



Quick one: least stable of them? 2)



1) Computed, not measured: Ta2PbBr after structural relaxation at the PBE-GGA level of DFT.

The structure in POSCAR format:
```
Ta2PbBr
1.0
-0.808 2.525 1.667
-2.547 -1.546 -0.966
0.159 -5.729 8.754
Pb Ta Br
1 2 1
Cartesian
-1.551 -4.066 7.311 Pb
0.006 -0.208 0.317 Ta
-1.640 -0.862 2.416 Ta
0.069 -2.480 3.789 Br
```

* total magnetic moment: 0.000 μB per formula unit
* volume: 24.01 Å³/atom



2) Computed, not measured: Ta2PbBr after structural relaxation at the PBE-GGA level of DFT.

The structure in POSCAR format:
```
Ta2PbBr
1.0
4.937 0.000 0.000
2.468 4.276 0.000
2.468 1.425 4.031
Pb Ta Br
1 2 1
Cartesian
7.405 4.276 3.023 Pb
2.468 1.425 1.008 Ta
0.000 0.000 0.000 Ta
4.937 2.850 2.015 Br
```

* total magnetic moment: 0.000 μB per formula unit
* volume: 21.27 Å³/atom



Quick one: least stable of them? 2)